(1)
# CaAcGe2 | Alexandria | GGA-PBE | relaxed
data_CaAcGe2
_cell_length_a 3.9098
_cell_length_b 3.9098
_cell_length_c 6.9261
_cell_angle_alpha 90.00
_cell_angle_beta 90.00
_cell_angle_gamma 90.00
_space_group_name_H-M_alt 'P 1'
_space_group_IT_number 1
_space_group_name_Hall 'P 1'
loop_
_atom_site_label
_atom_site_fract_x
_atom_site_fract_y
_atom_site_fract_z
_atom_site_occupancy
Ac1 0.5000 0.5000 0.0000 1
Ge1 0.0000 0.0000 0.2946 1
Ca1 0.5000 0.5000 0.5000 1
Ge2 0.0000 0.0000 0.7054 1
# Electronic total energy in Ry/atom: -0.3197
# Magnetization in μB/atom: 0.000
# Formation energy in eV/atom: -0.51
# V in Å³/cell: 106
# SG: No. 123

***

(2)
# CaAcGe2 | Alexandria | GGA-PBE | relaxed
data_CaAcGe2
_cell_length_a 4.1658
_cell_length_b 6.1391
_cell_length_c 8.7230
_cell_angle_alpha 90.00
_cell_angle_beta 90.00
_cell_angle_gamma 90.00
_space_group_name_H-M_alt 'P 1'
_space_group_IT_number 1
_space_group_name_Hall 'P 1'
loop_
_atom_site_label
_atom_site_fract_x
_atom_site_fract_y
_atom_site_fract_z
_atom_site_occupancy
Ac1 0.5000 0.6397 0.8190 1
Ge1 0.0000 0.3748 0.0357 1
Ge2 0.5000 0.1201 0.9641 1
Ca1 0.0000 0.8680 0.1812 1
Ge3 0.0000 0.6252 0.5357 1
Ac2 0.5000 0.3603 0.3190 1
Ge4 0.5000 0.8799 0.4641 1
Ca2 0.0000 0.1320 0.6812 1
# Electronic total energy in Ry/atom: -0.3303
# Magnetization in μB/atom: 0.000
# Formation energy in eV/atom: -0.66
# V in Å³/cell: 223
# SG: No. 26

***

(3)
# Ca2Ac2Ge | Alexandria | GGA-PBE | relaxed
data_Ca2Ac2Ge
_cell_length_a 4.3551
_cell_length_b 4.3551
_cell_length_c 10.6360
_cell_angle_alpha 101.81
_cell_angle_beta 101.81
_cell_angle_gamma 90.00
_space_group_name_H-M_alt 'P 1'
_space_group_IT_number 1
_space_group_name_Hall 'P 1'
loop_
_atom_site_label
_atom_site_fract_x
_atom_site_fract_y
_atom_site_fract_z
_atom_site_occupancy
Ac1 0.5814 0.5814 0.1628 1
Ca1 0.7500 0.2500 0.5000 1
Ge1 0.0000 0.0000 0.0000 1
Ca2 0.2500 0.7500 0.5000 1
Ac2 0.4186 0.4186 0.8372 1
# Electronic total energy in Ry/atom: -0.2365
# Magnetization in μB/atom: 0.000
# Formation energy in eV/atom: 0.15
# V in Å³/cell: 193
# SG: No. 139